DFT (PBE) results for a geometry-optimized CsYZrZn2 structure.

Cell: 5.4167 5.4167 5.6009 Å, 90.00 90.00 90.00°
Positions (direct):
Zn 0.5000 0.0000 0.0000
Zn 0.0000 0.5000 0.0000
Cs 0.0000 0.0000 0.0000
Zr 0.5000 0.5000 0.5000
Y 0.0000 0.0000 0.5000

Computed properties:
The value obtained for the energy of formation from the pure elements is 1637 meV per atom. Its space group is P4/mmm (123). For the calculated volume, the calculation gives 164.33 Å³/cell. The total magnetization comes out at 0.277 μB per atom.

DFT (PBE) results for a geometry-optimized Cs3YZr structure.

Cell: 6.6412 6.6412 6.6412 Å, 90.00 90.00 90.00°
Positions (direct):
Cs 0.0000 0.0000 0.5000
Cs 0.0000 0.5000 0.0000
Cs 0.5000 0.0000 0.0000
Y 0.5000 0.5000 0.5000
Zr 0.0000 0.0000 0.0000

Computed properties:
The value obtained for the energy of formation from the pure elements is 1504 meV per atom. Its space group is Pm-3m (221). For the calculated volume, the calculation gives 292.91 Å³/cell. The total magnetization comes out at 1.189 μB per atom.

Density values (in g/cm3) by entry order: 4.5, 3.3.